Record 1
Here is an optimized crystal structure of PrErTmTh from Alexandria. Energies are from PBE-GGA.

Structure (POSCAR):
```
PrErTmTh
1.0
3.5888 0.0000 -0.0011
-1.7936 3.1080 0.0023
-1.7927 -1.0445 11.5357
Pr Er Tm Th
1 1 1 1
Direct
0.9696 0.3831 0.3679 Pr
0.4753 0.1353 0.6261 Er
0.1304 0.9633 0.1083 Tm
0.3026 0.5491 0.8673 Th
```

Values from the calculation:
Volume ... 128.7 Å³ per cell
Space group ... R3m, No. 160
Crystal system ... trigonal
Energy above the most stable polymorph in this dataset ... 0 meV per atom

=====

Record 2
Here is an optimized crystal structure of PaTaSe3 from Alexandria. Energies are from PBE-GGA.

Structure (POSCAR):
```
PaTaSe3
1.0
-1.8216 1.6585 2.7728
-5.3822 -1.7742 -4.9561
-0.8953 -7.4022 3.8391
Pa Ta Se
2 2 6
Direct
0.4178 0.8686 0.3046 Pa
0.6262 0.2856 0.1170 Pa
0.2285 0.4902 0.5997 Ta
0.8153 0.6637 0.8217 Ta
0.0727 0.1784 0.3856 Se
0.4047 0.8423 0.6655 Se
0.6393 0.3117 0.7561 Se
0.9714 0.9758 0.0361 Se
0.2730 0.5790 0.0427 Se
0.7710 0.5751 0.3788 Se
```

Values from the calculation:
Volume ... 226.9 Å³ per cell
Formation energy from raw total energies ... -1.0490 eV/atom
Space group ... C2/m, No. 12
Crystal system ... monoclinic
Energy above the most stable polymorph in this dataset ... 0 meV per atom

=====

Record 3
Here is an optimized crystal structure of Pa2VSi3Ir4 from Alexandria. Energies are from PBE-GGA.

Structure (POSCAR):
```
Pa2VSi3Ir4
1.0
4.0833 0.0000 0.0000
0.0000 4.0833 0.0000
0.0000 0.0000 10.1710
Pa V Si Ir
2 1 3 4
Direct
0.5000 0.0000 0.2489 Pa
0.0000 0.5000 0.7511 Pa
0.5000 0.5000 0.5000 V
0.0000 0.0000 0.5000 Si
0.5000 0.0000 0.8689 Si
0.0000 0.5000 0.1311 Si
0.5000 0.5000 0.0000 Ir
0.0000 0.0000 0.0000 Ir
0.5000 0.0000 0.6346 Ir
0.0000 0.5000 0.3654 Ir
```

Values from the calculation:
Volume ... 169.6 Å³ per cell
Formation energy from raw total energies ... -0.9335 eV/atom
Space group ... P-4m2, No. 115
Crystal system ... tetragonal

=====

Record 4
Here is an optimized crystal structure of Na2Al2Cd from Alexandria. Energies are from PBE-GGA.

Structure (POSCAR):
```
Na2Al2Cd
1.0
-4.0212 -0.2156 -5.7614
4.4128 -4.6357 -2.9065
-2.6855 -3.8213 2.0174
Na Al Cd
4 4 2
Direct
0.1722 0.6722 0.5000 Na
0.6722 0.8278 0.5000 Na
0.8278 0.3278 0.5000 Na
0.3278 0.1722 0.5000 Na
0.3695 0.8695 0.0000 Al
0.8695 0.6305 0.0000 Al
0.6305 0.1305 0.0000 Al
0.1305 0.3695 0.0000 Al
0.0000 0.0000 0.0000 Cd
0.5000 0.5000 0.0000 Cd
```

Values from the calculation:
Volume ... 251.4 Å³ per cell
Space group ... P4/mbm, No. 127
Crystal system ... tetragonal
Energy above the most stable polymorph in this dataset ... 0 meV per atom

=====

Record 5
Here is an optimized crystal structure of ThPaO from Alexandria. Energies are from PBE-GGA.

Structure (POSCAR):
```
ThPaO
1.0
-0.2060 3.2142 1.1562
-1.2392 -0.7893 -3.0906
-12.3786 -2.8398 5.6885
Th Pa O
2 2 2
Direct
0.6667 0.3333 0.3581 Th
0.6667 0.3333 0.1088 Th
0.6667 0.3333 0.8701 Pa
0.3333 0.6667 0.6181 Pa
0.3333 0.6667 0.4637 O
0.3333 0.6667 0.7756 O
```

Values from the calculation:
Volume ... 141.1 Å³ per cell
Formation energy from raw total energies ... -1.2634 eV/atom
Space group ... P3m1, No. 156
Crystal system ... trigonal

=====

Record 6
Here is an optimized crystal structure of PmPrNd3Y from Alexandria. Energies are from PBE-GGA.

Structure (POSCAR):
```
PmPrNd3Y
1.0
6.0848 0.0000 0.0000
-3.0424 5.6295 0.0000
0.0000 0.0000 12.1452
Pm Pr Nd Y
2 2 6 2
Direct
0.5174 0.0348 0.7500 Pm
0.4826 0.9652 0.2500 Pm
0.0000 0.0000 0.5000 Pr
0.0000 0.0000 0.0000 Pr
0.6689 0.3377 0.4859 Nd
0.3311 0.6623 0.5141 Nd
0.3311 0.6623 0.9859 Nd
0.6689 0.3377 0.0141 Nd
0.1525 0.3050 0.7500 Nd
0.8475 0.6950 0.2500 Nd
0.8317 0.6634 0.7500 Y
0.1683 0.3366 0.2500 Y
```

Values from the calculation:
Volume ... 416.0 Å³ per cell
Space group ... Cmcm, No. 63
E_tot ... -4.939 eV/atom
Crystal system ... orthorhombic

=====

Record 7
Here is an optimized crystal structure of BaInAs from Alexandria. Energies are from PBE-GGA.

Structure (POSCAR):
```
BaInAs
1.0
6.5409 0.1311 -0.1288
5.3046 3.8306 0.1106
1.2363 0.1755 3.7031
As Ba In
1 1 1
Direct
0.0304 0.0304 0.9696 As
0.3383 0.3383 0.6617 Ba
0.6312 0.6312 0.3688 In
```

Values from the calculation:
Volume ... 90.6 Å³ per cell
Space group ... I4mm, No. 107
E_tot ... -3.608 eV/atom
Crystal system ... tetragonal

=====

Record 8
Here is an optimized crystal structure of KRbSiSb2 from Alexandria. Energies are from PBE-GGA.

Structure (POSCAR):
```
KRbSiSb2
1.0
6.0980 0.0000 0.0000
0.0000 6.0980 0.0000
0.0000 0.0000 5.8462
Sb K Si Rb
2 1 1 1
Direct
0.0000 0.5000 0.0000 Sb
0.5000 0.0000 0.0000 Sb
0.0000 0.0000 0.0000 K
0.0000 0.0000 0.5000 Si
0.5000 0.5000 0.5000 Rb
```

Values from the calculation:
Volume ... 217.4 Å³ per cell
Formation energy from raw total energies ... 0.9323 eV/atom
Space group ... P4/mmm, No. 123
Crystal system ... tetragonal

=====

Record 9
Here is an optimized crystal structure of Ge4Rh from Alexandria. Energies are from PBE-GGA.

Structure (POSCAR):
```
Ge4Rh
1.0
-2.3314 2.8700 7.4308
6.8996 -0.4815 4.9059
0.5100 8.4466 -0.5472
Ge Rh
24 6
Direct
0.5139 0.5473 0.6483 Ge
0.9861 0.3517 0.4527 Ge
0.4861 0.4527 0.3517 Ge
0.0139 0.6483 0.5473 Ge
0.5551 0.7357 0.1426 Ge
0.9449 0.8574 0.2643 Ge
0.7500 0.6631 0.3369 Ge
0.2500 0.3369 0.6631 Ge
0.7332 0.5854 0.8332 Ge
0.7668 0.1668 0.4146 Ge
0.2668 0.4146 0.1668 Ge
0.2332 0.8332 0.5854 Ge
0.6885 0.2902 0.0215 Ge
0.8115 0.9785 0.7098 Ge
0.3115 0.7098 0.9785 Ge
0.1885 0.0215 0.2902 Ge
0.0000 0.5000 0.0000 Ge
0.5000 0.0000 0.5000 Ge
0.9322 0.8834 0.9577 Ge
0.5678 0.0423 0.1166 Ge
0.0678 0.1166 0.0423 Ge
0.4322 0.9577 0.8834 Ge
0.0551 0.1426 0.7357 Ge
0.4449 0.2643 0.8574 Ge
0.2500 0.7109 0.2891 Rh
0.7500 0.2891 0.7109 Rh
0.1647 0.6284 0.7859 Rh
0.3353 0.2141 0.3716 Rh
0.8353 0.3716 0.2141 Rh
0.6647 0.7859 0.6284 Rh
```

Values from the calculation:
Volume ... 548.9 Å³ per cell
Space group ... C2/c, No. 15
E_tot ... -5.212 eV/atom
Crystal system ... monoclinic

=====

Record 10
Here is an optimized crystal structure of TmPd3Pt2 from Alexandria. Energies are from PBE-GGA.

Structure (POSCAR):
```
TmPd3Pt2
1.0
5.2648 0.0000 0.0000
0.0000 5.0276 -2.5651
0.0000 0.6734 7.5295
Tm Pd Pt
2 6 4
Direct
0.7500 0.3446 0.6893 Tm
0.2500 0.6554 0.3107 Tm
0.7500 0.8429 0.6858 Pd
0.2500 0.1571 0.3142 Pd
0.7500 0.9197 0.3439 Pd
0.2500 0.0803 0.6561 Pd
0.7500 0.4242 0.3439 Pd
0.2500 0.5758 0.6561 Pd
0.0000 0.7575 0.0000 Pt
0.5000 0.2425 0.0000 Pt
0.0000 0.2425 0.0000 Pt
0.5000 0.7575 0.0000 Pt
```

Values from the calculation:
Volume ... 208.4 Å³ per cell
Space group ... Cmcm, No. 63
Crystal system ... orthorhombic
Energy above the most stable polymorph in this dataset ... 136 meV per atom

=====

Record 11
Here is an optimized crystal structure of CuBiCl4 from Alexandria. Energies are from PBE-GGA.

Structure (POSCAR):
```
CuBiCl4
1.0
-6.3692 -0.2036 2.3917
-0.7752 -6.7537 0.3398
5.1278 3.5087 2.7792
Cu Bi Cl
1 1 4
Direct
0.5000 0.5000 0.0000 Cu
0.7500 0.2500 0.5000 Bi
0.1600 0.1629 0.5466 Cl
0.6163 0.6134 0.4534 Cl
0.3866 0.8400 0.0029 Cl
0.8371 0.3837 0.9971 Cl
```

Values from the calculation:
Volume ... 202.7 Å³ per cell
Formation energy from raw total energies ... -0.7128 eV/atom
Space group ... I-4, No. 82
Crystal system ... tetragonal
Energy above the most stable polymorph in this dataset ... 54 meV per atom

=====

Record 12
Here is an optimized crystal structure of LiHfCdRh from Alexandria. Energies are from PBE-GGA.

Structure (POSCAR):
```
LiHfCdRh
1.0
4.5852 0.0000 0.0000
2.2926 3.9709 0.0000
2.2926 1.3236 3.7438
Rh Li Hf Cd
1 1 1 1
Direct
0.0000 0.0000 0.0000 Rh
0.5000 0.5000 0.5000 Li
0.2500 0.2500 0.2500 Hf
0.7500 0.7500 0.7500 Cd
```

Values from the calculation:
Volume ... 68.2 Å³ per cell
Space group ... F-43m, No. 216
E_tot ... -5.351 eV/atom
Crystal system ... cubic

=====

Record 13
Here is an optimized crystal structure of CuAg2F6 from Alexandria. Energies are from PBE-GGA.

Structure (POSCAR):
```
CuAg2F6
1.0
-4.7426 1.4975 0.0765
-0.4120 -1.5456 4.7097
2.9655 9.2239 3.2865
Cu Ag F
2 4 12
Direct
0.5000 0.5000 0.0000 Cu
0.0000 0.0000 0.5000 Cu
0.5000 0.5000 0.3374 Ag
0.5000 0.5000 0.6626 Ag
0.0000 0.0000 0.1626 Ag
0.0000 0.0000 0.8374 Ag
0.6899 0.6899 0.1442 F
0.6899 0.6899 0.8558 F
0.7291 0.7291 0.5000 F
0.7709 0.2291 0.0000 F
0.8101 0.1899 0.3558 F
0.8101 0.1899 0.6442 F
0.1899 0.8101 0.3558 F
0.1899 0.8101 0.6442 F
0.2291 0.7709 0.0000 F
0.2709 0.2709 0.5000 F
0.3101 0.3101 0.1442 F
0.3101 0.3101 0.8558 F
```

Values from the calculation:
Volume ... 253.1 Å³ per cell
Formation energy from raw total energies ... -1.2742 eV/atom
Space group ... P4_2/mnm, No. 136
Crystal system ... tetragonal
Energy above the most stable polymorph in this dataset ... 0 meV per atom